Compound: Hf2TiMo
Source: Alexandria via LeMat-Bulk
Functional: meta-GGA SCAN
Structure: single point on PBEsol structure

Unit cell a=4.6928 b=4.6928 c=4.6928 alpha=60.00 beta=60.00 gamma=60.00
Last column: nearest neighbours and their distance in Å.
Fractional positions:
Hf 0.7500 0.7500 0.7500  4 Mo 2.87, 4 Ti 2.87
Ti 0.0000 0.0000 0.0000  8 Hf 2.87
Mo 0.5000 0.5000 0.5000  8 Hf 2.87
Hf 0.2500 0.2500 0.2500  4 Mo 2.87, 4 Ti 2.87

DOS at the Fermi energy   5.61 states/eV per cell
ΔH_f (0 K)   -0.05 eV per formula unit
SG   Fm-3m, No. 225
Theoretical density   11.379 Mg/m³